Na3CaGa8: relaxed, PBE.

Structure (extended XYZ):
```
12
Lattice="2.820 1.628 9.119 -2.820 1.628 9.119 0.000 -3.257 9.119" Properties=species:S:1:pos:R:3 pbc="T T T"
Na 0.000 0.000 0.000
Na 0.000 0.000 3.354
Na 0.000 0.000 13.542
Ca 0.000 0.000 16.996
Ga -1.413 -0.816 10.750
Ga 0.000 -1.632 6.199
Ga -1.413 0.816 6.199
Ga 0.000 0.000 8.517
Ga 1.413 -0.816 10.750
Ga 0.000 1.632 10.750
Ga 1.413 0.816 6.199
Ga 0.000 0.000 22.107
```

Properties
- total magnetic moment (μB per formula unit) = 0.0
- ρ (g/cm3) = 4.407
- formation energy (meV/atom) = -205
- electronic total energy (eV/atom) = -2.72

---

NdSm2Co: relaxed, PBE.

Structure (extended XYZ):
```
4
Lattice="3.483 0.000 0.000 0.000 3.483 0.000 0.000 0.000 9.127" Properties=species:S:1:pos:R:3 pbc="T T T"
Nd 0.000 0.000 0.000
Sm 1.741 1.741 2.919
Sm 1.741 1.741 6.208
Co 0.000 0.000 4.564
```

Properties
- total magnetic moment (μB per formula unit) = 0.9
- ρ (g/cm3) = 7.557
- formation energy (meV/atom) = 12
- electronic total energy (eV/atom) = -5.32
- distance to the lowest polymorph of the same formula (eV per atom) = 0.098

---

Hg2Pd12Au5: relaxed, PBE.

Structure (extended XYZ):
```
19
Lattice="8.801 -2.831 0.000 8.801 2.831 0.000 -2.171 0.000 6.607" Properties=species:S:1:pos:R:3 pbc="T T T"
Hg 8.801 1.443 0.000
Hg 8.801 -1.443 0.000
Pd 4.900 1.429 1.363
Pd 2.467 0.000 0.565
Pd 5.640 1.364 4.029
Pd 9.790 1.364 2.578
Pd 10.530 1.429 5.243
Pd 7.260 0.000 2.047
Pd 8.170 0.000 4.560
Pd 4.900 -1.429 1.363
Pd 5.640 -1.364 4.029
Pd 9.790 -1.364 2.578
Pd 12.963 0.000 6.042
Pd 10.530 -1.429 5.243
Au -1.086 0.000 3.303
Au 3.274 0.000 3.260
Au 4.085 0.000 6.007
Au 11.345 0.000 0.600
Au 12.156 0.000 3.346
```

Properties
- total magnetic moment (μB per formula unit) = 0.0
- ρ (g/cm3) = 13.435
- formation energy (meV/atom) = 23
- electronic total energy (eV/atom) = -4.15

---

La5ThSe6: relaxed, PBE.

Structure (extended XYZ):
```
12
Lattice="3.708 -6.449 0.000 3.708 6.449 0.000 -2.498 0.000 7.018" Properties=species:S:1:pos:R:3 pbc="T T T"
La 0.000 0.000 0.000
La 2.459 4.306 3.509
La 3.708 2.182 0.000
La 3.708 -2.182 0.000
La 2.459 -4.306 3.509
Th 2.459 0.000 3.509
Se 1.246 2.123 1.778
Se 0.015 0.000 5.262
Se 1.246 -2.123 1.778
Se 3.673 2.123 5.240
Se 4.904 0.000 1.756
Se 3.673 -2.123 5.240
```

Properties
- total magnetic moment (μB per formula unit) = 0.0
- ρ (g/cm3) = 6.927
- uncorrected formation energy (eV per atom) = -1.92
- electronic total energy (eV/atom) = -6.33

---

LaTb3Ho7: relaxed, PBE.

Structure (extended XYZ):
```
11
Lattice="6.275 -5.605 0.000 6.275 5.605 0.000 -2.679 0.000 5.152" Properties=species:S:1:pos:R:3 pbc="T T T"
La 0.000 0.000 0.000
Tb 4.936 2.325 2.576
Tb 6.275 0.000 0.000
Tb 4.936 -2.325 2.576
Ho -1.339 0.000 2.576
Ho 1.511 2.151 4.065
Ho 2.920 0.000 1.526
Ho 1.511 -2.151 4.065
Ho 8.361 2.151 1.088
Ho 6.952 0.000 3.626
Ho 8.361 -2.151 1.088
```

Properties
- total magnetic moment (μB per formula unit) = 0.0
- ρ (g/cm3) = 8.111
- formation energy (meV/atom) = 255
- electronic total energy (eV/atom) = -4.37
- distance to the lowest polymorph of the same formula (eV per atom) = 0.108

---

Ce3Mn: relaxed, PBE.

Structure (extended XYZ):
```
4
Lattice="3.063 0.000 0.000 0.000 5.147 0.000 0.000 0.000 5.659" Properties=species:S:1:pos:R:3 pbc="T T T"
Ce 0.000 0.000 0.000
Ce 0.000 2.574 1.247
Ce 1.532 2.574 3.911
Mn 1.532 0.000 2.755
```

Properties
- total magnetic moment (μB per formula unit) = 2.0
- ρ (g/cm3) = 8.846
- formation energy (meV/atom) = 209
- electronic total energy (eV/atom) = -6.53

---

K2CoBiBr: relaxed, PBE.

Structure (extended XYZ):
```
5
Lattice="6.686 0.000 0.000 0.000 6.686 0.000 0.000 0.000 4.313" Properties=species:S:1:pos:R:3 pbc="T T T"
K 0.000 3.343 0.000
K 3.343 0.000 0.000
Co 0.000 0.000 0.000
Bi 3.343 3.343 2.157
Br 0.000 0.000 2.157
```

Properties
- total magnetic moment (μB per formula unit) = 2.1
- ρ (g/cm3) = 3.669
- uncorrected formation energy (eV per atom) = 0.12
- electronic total energy (eV/atom) = -2.85

---

Ho7Tl2Ga2: relaxed, PBE.

Structure (extended XYZ):
```
11
Lattice="3.952 -5.538 0.000 3.952 5.538 0.000 0.000 0.000 7.385" Properties=species:S:1:pos:R:3 pbc="T T T"
Ho 0.000 0.000 0.000
Ho 1.976 2.769 2.020
Ho 1.976 2.769 5.365
Ho 1.976 -2.769 2.020
Ho 1.976 -2.769 5.365
Ho 3.952 0.000 1.790
Ho 3.952 0.000 5.595
Tl 1.467 0.000 3.693
Tl 6.437 0.000 3.693
Ga 3.952 2.345 0.000
Ga 3.952 -2.345 0.000
```

Properties
- total magnetic moment (μB per formula unit) = 0.0
- ρ (g/cm3) = 8.748
- formation energy (meV/atom) = -140
- electronic total energy (eV/atom) = -4.03